1.
Computed, not measured: a geometry-optimized SnGeSe4 structure at the PBE level of DFT.

Lattice parameters (Å, degrees): 6.0714 6.0714 9.9744 90.00 90.00 90.00
Fractional coordinates of all 12 atoms:
Sn  0.0000  0.0000  0.0000
Sn  0.0000  0.0000  0.5000
Ge  0.0000  0.5000  0.2500
Ge  0.5000  0.0000  0.7500
Se  0.2780  0.2529  0.8763
Se  0.7220  0.7471  0.8763
Se  0.2529  0.2780  0.3763
Se  0.2780  0.7471  0.6237
Se  0.7220  0.2529  0.6237
Se  0.2529  0.7220  0.1237
Se  0.7471  0.2780  0.1237
Se  0.7471  0.7220  0.3763

Values from the calculation:
total energy	-4.035	eV/atom
formation energy from raw total energies	-1.65	eV/f.u.
magnetic moment	0.0	Bohr magnetons per cell

=====

2.
Computed, not measured: a geometry-optimized La3Ho4Sc structure at the PBE level of DFT.

Lattice parameters (Å, degrees): 6.2605 7.2942 11.4467 90.00 90.00 90.00
Fractional coordinates of all 16 atoms:
La  0.6477  0.6295  0.0000
La  0.9790  0.6208  0.2510
La  0.4790  0.3792  0.2490
La  0.1477  0.3705  0.5000
La  0.4790  0.3792  0.7510
La  0.9790  0.6208  0.7490
Ho  0.1481  0.8775  0.0000
Ho  0.6473  0.1238  0.0000
Ho  0.9861  0.1222  0.2440
Ho  0.4861  0.8778  0.2560
Ho  0.1473  0.8762  0.5000
Ho  0.6481  0.1225  0.5000
Ho  0.4861  0.8778  0.7440
Ho  0.9861  0.1222  0.7560
Sc  0.1421  0.3655  0.0000
Sc  0.6421  0.6345  0.5000

Values from the calculation:
N(E_F)	1.7569	states/eV per atom
total energy	-4.884	eV/atom
formation enthalpy at 0 K	0.044	eV/atom
energy above the most stable polymorph in this dataset	0.0	meV per atom
magnetic moment	0.0	Bohr magnetons per cell

=====

3.
Computed, not measured: a geometry-optimized BeSb2Te structure at the PBE level of DFT.

Lattice parameters (Å, degrees): 3.3428 3.3432 8.7785 90.00 90.00 90.00
Fractional coordinates of all 4 atoms:
Sb  0.0000  0.0000  0.9343
Sb  0.5000  0.5000  0.2514
Te  0.0000  0.0000  0.5954
Be  0.5000  0.5000  0.7189

Values from the calculation:
N(E_F)	0.3827	states/eV per atom
total energy	-3.365	eV/atom
formation energy from raw total energies	1.65	eV/f.u.
energy above the most stable polymorph in this dataset	324.3	meV per atom
magnetic moment	0.0	Bohr magnetons per cell

=====

4.
Computed, not measured: a geometry-optimized Cs2TaSiI6 structure at the PBE level of DFT.

Lattice parameters (Å, degrees): 8.3427 8.3427 8.3599 60.07 60.07 90.00
Fractional coordinates of all 10 atoms:
Cs  0.7500  0.2500  0.5000
Cs  0.2500  0.7500  0.5000
I  0.2441  0.2441  0.5117
I  0.7559  0.7559  0.4883
I  0.2451  0.2451  0.0000
I  0.7549  0.7549  0.0000
I  0.7549  0.2451  0.0000
I  0.2451  0.7549  0.0000
Si  0.5000  0.5000  0.0000
Ta  0.0000  0.0000  0.0000

Values from the calculation:
N(E_F)	0.5852	states/eV per atom
total energy	-3.346	eV/atom
formation energy from raw total energies	-5.18	eV/f.u.
magnetic moment	3.0	Bohr magnetons per cell

=====

Which value of magnetic moment does entry 3 give? 0.0 Bohr magnetons per cell